1.
VASP calculation (PBE) on a relaxed structure of BaBiTe2I.

Values from the calculation:
For the final energy, the calculation gives -12.738 eV/cell. The value obtained for the density is 4.47 g/cm³. Its uncorrected formation energy is 0.18 eV per atom.

Cell: 6.5385 6.5385 6.3288 Å, 90.00 90.00 90.00°
Fractional coordinates of all 5 atoms:
1 Ba 0.0000 0.0000 0.0000
2 Bi 0.5000 0.5000 0.5000
3 Te 0.0000 0.5000 0.0000
4 Te 0.5000 0.0000 0.0000
5 I 0.0000 0.0000 0.5000

2.
VASP calculation (PBE) on a relaxed structure of Ca2MnAl.

Values from the calculation:
For the final energy, the calculation gives -16.425 eV/cell. The value obtained for the density is 2.63 g/cm³.

Cell: 6.2581 6.2581 5.2495 Å, 114.66 114.66 33.62°
Fractional coordinates of all 4 atoms:
1 Ca 0.0000 0.0000 0.0000
2 Ca 0.2074 0.2074 0.7067
3 Mn 0.4335 0.4335 0.4336
4 Al 0.7609 0.7609 0.2599

3.
VASP calculation (PBE) on a relaxed structure of Sr3Ta.

Values from the calculation:
For the final energy, the calculation gives -13.079 eV/cell. The value obtained for the density is 4.98 g/cm³.

Cell: 7.0227 7.0227 7.0227 Å, 117.20 117.20 117.20°
Fractional coordinates of all 4 atoms:
1 Sr 0.0000 0.5000 0.5000
2 Sr 0.5000 0.0000 0.5000
3 Sr 0.5000 0.5000 0.0000
4 Ta 0.0000 0.0000 0.0000

4.
VASP calculation (PBE) on a relaxed structure of ErLuSiAg.

Values from the calculation:
For the final energy, the calculation gives -19.061 eV/cell. The value obtained for the density is 9.14 g/cm³. Its uncorrected formation energy is -0.43 eV per atom.

Cell: 4.9720 4.9720 4.9720 Å, 60.00 60.00 60.00°
Fractional coordinates of all 4 atoms:
1 Er 0.0000 0.0000 0.0000
2 Lu 0.5000 0.5000 0.5000
3 Si 0.7500 0.7500 0.7500
4 Ag 0.2500 0.2500 0.2500

Question: Which value of final energy does entry 2 give?
Answer: -16.425 eV/cell

Question: What is the density in the fourth record?
Answer: 9.14 g/cm³